1.
First-principles (PBE) data for crystalline Ta5NbRu4 at its relaxed geometry, as listed in Alexandria.

## Properties
For the distance to the lowest polymorph of the same formula, the calculation gives 0 meV per atom. Its calculated volume is 163.71 Å³/f.u.

The structure in extended XYZ format:
```
10
Lattice="6.839 -2.258 0.000 6.839 2.258 0.000 -1.506 0.000 5.301" Properties=species:S:1:pos:R:3 pbc="T T T"
Ta 0.000 0.000 0.000
Ta 2.282 0.000 1.578
Ta 5.335 0.000 0.542
Ta 6.838 0.000 4.759
Ta 9.890 0.000 3.722
Nb -0.753 0.000 2.650
Ru 1.575 0.000 4.256
Ru 4.515 0.000 3.128
Ru 7.658 0.000 2.172
Ru 10.598 0.000 1.045
```


2.
First-principles (PBE) data for crystalline Ta6Nb3Ru at its relaxed geometry, as listed in Alexandria.

## Properties
For the distance to the lowest polymorph of the same formula, the calculation gives 1552 meV per atom. Its calculated volume is 220.09 Å³/f.u.

The structure in extended XYZ format:
```
10
Lattice="0.000 4.792 4.792 4.792 0.000 4.792 4.792 4.792 0.000" Properties=species:S:1:pos:R:3 pbc="T T T"
Ta 4.792 4.792 2.366
Ta 4.792 2.366 4.792
Ta 7.218 4.792 4.792
Ta 2.366 4.792 4.792
Ta 4.792 7.218 4.792
Ta 4.792 4.792 7.218
Nb 2.396 2.396 2.396
Nb 4.792 4.792 4.792
Nb 7.188 7.188 7.188
Ru 0.000 0.000 0.000
```


3.
First-principles (PBE) data for crystalline Ta4NbRu5 at its relaxed geometry, as listed in Alexandria.

## Properties
For the energy, the calculation gives -10.681 eV/atom. Its calculated volume is 161.35 Å³/f.u.

The structure in extended XYZ format:
```
10
Lattice="3.067 0.000 0.000 0.000 3.067 0.000 0.000 0.000 17.151" Properties=species:S:1:pos:R:3 pbc="T T T"
Ta 0.000 0.000 1.704
Ta 0.000 0.000 5.120
Ta 0.000 0.000 12.030
Ta 0.000 0.000 15.447
Nb 0.000 0.000 8.575
Ru 1.534 1.534 0.000
Ru 1.534 1.534 3.442
Ru 1.534 1.534 6.650
Ru 1.534 1.534 10.501
Ru 1.534 1.534 13.709
```


4.
First-principles (PBE) data for crystalline Ta2NbRu at its relaxed geometry, as listed in Alexandria.

## Properties
For the distance to the lowest polymorph of the same formula, the calculation gives 14 meV per atom. Its calculated volume is 68.23 Å³/f.u.

The structure in extended XYZ format:
```
4
Lattice="3.225 0.000 0.000 0.000 3.225 0.000 0.000 0.000 6.560" Properties=species:S:1:pos:R:3 pbc="T T T"
Ta 0.000 0.000 1.603
Ta 0.000 0.000 4.956
Nb 1.613 1.613 3.280
Ru 1.613 1.613 0.000
```